Entry 1:
Entry from Alexandria: a relaxed structure of CrInBr (PBE).

Values from the calculation:
Density of states at the Fermi level ... 1.41 states/eV/f.u.

```
data_CrInBr
_chemical_formula_sum 'Cr2 In2 Br2'
_cell_length_a 3.468
_cell_length_b 3.468
_cell_length_c 12.311
_cell_angle_alpha 90.00
_cell_angle_beta 90.00
_cell_angle_gamma 90.00
_symmetry_space_group_name_H-M 'I 4 m m'
_symmetry_Int_Tables_number 107
_symmetry_space_group_name_Hall 'I 4 -2'
loop_
_atom_site_label
_atom_site_type_symbol
_atom_site_fract_x
_atom_site_fract_y
_atom_site_fract_z
Cr1 Cr 0.000 0.000 0.000
In1 In 0.000 0.000 0.358
Br1 Br 0.000 0.000 0.621
```

***

Entry 2:
Entry from Alexandria: a relaxed structure of CrInBr (PBE).

Values from the calculation:
Density of states at the Fermi level ... 1.40 states/eV/f.u.

```
data_CrInBr
_chemical_formula_sum 'Cr1 In1 Br1'
_cell_length_a 3.7233
_cell_length_b 3.7233
_cell_length_c 6.3375
_cell_angle_alpha 90.00
_cell_angle_beta 90.00
_cell_angle_gamma 120.00
_symmetry_space_group_name_H-M 'P 3 m 1'
_symmetry_Int_Tables_number 156
_symmetry_space_group_name_Hall 'P 3 -2"'
loop_
_atom_site_label
_atom_site_type_symbol
_atom_site_fract_x
_atom_site_fract_y
_atom_site_fract_z
Cr1 Cr 0.0000 0.0000 0.0000
In1 In 0.3333 0.6667 0.2998
Br1 Br 0.6667 0.3333 0.7456
```

***

Entry 3:
Entry from Alexandria: a relaxed structure of CrIn2Br (PBE).

Values from the calculation:
Density of states at the Fermi level ... 1.64 states/eV/f.u.

```
data_CrIn2Br
_chemical_formula_sum 'Cr2 In4 Br2'
_cell_length_a 7.556
_cell_length_b 7.757
_cell_length_c 3.303
_cell_angle_alpha 90.00
_cell_angle_beta 90.40
_cell_angle_gamma 90.00
_symmetry_space_group_name_H-M 'C 1 2/m 1'
_symmetry_Int_Tables_number 12
_symmetry_space_group_name_Hall '-C 2y'
loop_
_atom_site_label
_atom_site_type_symbol
_atom_site_fract_x
_atom_site_fract_y
_atom_site_fract_z
Cr1 Cr 0.000 0.000 0.000
In1 In 0.250 0.250 0.500
Br1 Br 0.000 0.500 0.000
```

***

Entry 4:
Entry from Alexandria: a relaxed structure of CrInBr2 (PBE).

Values from the calculation:
Density of states at the Fermi level ... 1.94 states/eV/f.u.

```
data_CrInBr2
_chemical_formula_sum 'Cr2 In2 Br4'
_cell_length_a 3.911
_cell_length_b 4.755
_cell_length_c 14.070
_cell_angle_alpha 90.00
_cell_angle_beta 90.00
_cell_angle_gamma 90.00
_symmetry_space_group_name_H-M 'A m m 2'
_symmetry_Int_Tables_number 38
_symmetry_space_group_name_Hall 'A 2 -2'
loop_
_atom_site_label
_atom_site_type_symbol
_atom_site_fract_x
_atom_site_fract_y
_atom_site_fract_z
Cr1 Cr 0.000 0.000 0.000
In1 In 0.500 0.000 0.431
Br1 Br 0.000 0.000 0.824
Br2 Br 0.500 0.000 0.115
```

***

Entry 5:
Entry from Alexandria: a relaxed structure of CrIn3Br (PBE).

Values from the calculation:
Density of states at the Fermi level ... 2.27 states/eV/f.u.

```
data_CrIn3Br
_chemical_formula_sum 'Cr1 In3 Br1'
_cell_length_a 5.849
_cell_length_b 5.849
_cell_length_c 5.849
_cell_angle_alpha 90.00
_cell_angle_beta 90.00
_cell_angle_gamma 90.00
_symmetry_space_group_name_H-M 'P m -3 m'
_symmetry_Int_Tables_number 221
_symmetry_space_group_name_Hall '-P 4 2 3'
loop_
_atom_site_label
_atom_site_type_symbol
_atom_site_fract_x
_atom_site_fract_y
_atom_site_fract_z
Cr1 Cr 0.000 0.000 0.000
In1 In 0.000 0.500 0.500
Br1 Br 0.500 0.500 0.500
```

***

Entry 6:
Entry from Alexandria: a relaxed structure of CrInBr3 (PBE).

```
data_CrInBr3
_chemical_formula_sum 'Cr8 In8 Br24'
_cell_length_a 12.140
_cell_length_b 11.565
_cell_length_c 10.145
_cell_angle_alpha 90.00
_cell_angle_beta 90.66
_cell_angle_gamma 90.00
_symmetry_space_group_name_H-M 'C 1 2/c 1'
_symmetry_Int_Tables_number 15
_symmetry_space_group_name_Hall '-C 2yc'
loop_
_atom_site_label
_atom_site_type_symbol
_atom_site_fract_x
_atom_site_fract_y
_atom_site_fract_z
Cr1 Cr 0.214 0.183 0.018
In1 In 0.000 0.046 0.250
In2 In 0.000 0.425 0.250
Br1 Br 0.020 0.195 0.970
Br2 Br 0.173 0.485 0.996
Br3 Br 0.210 0.225 0.250
```

***

| no. | formation energy without anion corrections (meV per atom) |
| --- | --- |
| 1 | 147 |
| 2 | 132 |
| 3 | 187 |
| 4 | -257 |
| 5 | 740 |
| 6 | -500 |